Mo2PtRh | SCAN | single point on PBEsol structure

Results
The energy of formation is -0.307 eV/atom. The crystal system is orthorhombic.

Geometry as CIF:
```
data_Mo2PtRh
_symmetry_space_group_name_H-M 'P 1'
_symmetry_Int_Tables_number 1
_cell_length_a 2.697
_cell_length_b 4.820
_cell_length_c 4.820
_cell_angle_alpha 112.02
_cell_angle_beta 90.00
_cell_angle_gamma 90.00
loop_
_symmetry_equiv_pos_as_xyz
'x,y,z'
loop_
_atom_site_label
_atom_site_type_symbol
_atom_site_fract_x
_atom_site_fract_y
_atom_site_fract_z
Mo1 Mo 0.000 0.000 0.500
Pt1 Pt 0.500 0.000 0.000
Mo2 Mo 0.000 0.500 0.000
Rh1 Rh 0.500 0.500 0.500
```


MoRu2Pt | SCAN | single point on PBEsol structure

Results
The energy of formation is -0.116 eV/atom. The crystal system is orthorhombic.

Geometry as CIF:
```
data_MoRu2Pt
_symmetry_space_group_name_H-M 'P 1'
_symmetry_Int_Tables_number 1
_cell_length_a 2.697
_cell_length_b 3.868
_cell_length_c 5.437
_cell_angle_alpha 90.00
_cell_angle_beta 90.00
_cell_angle_gamma 90.00
loop_
_symmetry_equiv_pos_as_xyz
'x,y,z'
loop_
_atom_site_label
_atom_site_type_symbol
_atom_site_fract_x
_atom_site_fract_y
_atom_site_fract_z
Ru1 Ru 0.500 0.000 0.022
Ru2 Ru 0.000 0.500 0.239
Pt1 Pt 0.000 0.500 0.751
Mo1 Mo 0.500 0.000 0.488
```


MoRu2Pt | SCAN | single point on PBEsol structure

Results
The energy of formation is -0.211 eV/atom. The crystal system is tetragonal.

Geometry as CIF:
```
data_MoRu2Pt
_symmetry_space_group_name_H-M 'P 1'
_symmetry_Int_Tables_number 1
_cell_length_a 3.769
_cell_length_b 3.863
_cell_length_c 3.863
_cell_angle_alpha 90.00
_cell_angle_beta 90.00
_cell_angle_gamma 90.00
loop_
_symmetry_equiv_pos_as_xyz
'x,y,z'
loop_
_atom_site_label
_atom_site_type_symbol
_atom_site_fract_x
_atom_site_fract_y
_atom_site_fract_z
Ru1 Ru 0.000 0.500 0.000
Ru2 Ru 0.000 0.000 0.500
Mo1 Mo 0.500 0.500 0.500
Pt1 Pt 0.500 0.000 0.000
```


Total DFT energy (no corrections), record by record: -43.74, -43.80, -43.89 eV per atom